Entry from the Alexandria database: an optimized crystal structure of Dy3Co8Sn4 (GGA-PBE).

```
Dy3Co8Sn4
1.0
8.9038 0.0000 0.0000
-4.4519 7.7109 0.0000
0.0000 0.0000 7.4365
Dy Co Sn
6 16 8
direct
0.0597 0.5298 0.0000 Dy
0.4702 0.5298 0.0000 Dy
0.4702 0.9403 0.0000 Dy
0.5298 0.0597 0.5000 Dy
0.5298 0.4702 0.5000 Dy
0.9403 0.4702 0.5000 Dy
0.0000 0.0000 0.2782 Co
0.0000 0.0000 0.7782 Co
0.0977 0.1953 0.0235 Co
0.0977 0.9023 0.0235 Co
0.1590 0.3181 0.3305 Co
0.1590 0.8410 0.3305 Co
0.1953 0.0977 0.5235 Co
0.3181 0.1590 0.8305 Co
0.3333 0.6667 0.7162 Co
0.6667 0.3333 0.2162 Co
0.6819 0.8410 0.3305 Co
0.8047 0.9023 0.0235 Co
0.8410 0.1590 0.8305 Co
0.8410 0.6819 0.8305 Co
0.9023 0.0977 0.5235 Co
0.9023 0.8047 0.5235 Co
0.1716 0.3432 0.7029 Sn
0.1716 0.8284 0.7029 Sn
0.3333 0.6667 0.3361 Sn
0.3432 0.1716 0.2029 Sn
0.6568 0.8284 0.7029 Sn
0.6667 0.3333 0.8361 Sn
0.8284 0.1716 0.2029 Sn
0.8284 0.6568 0.2029 Sn
```

Output
Its volume is 510.6 Å³/cell. As for the total magnetic moment: 0.4837 μB/atom. Its total energy is -6.086 eV per atom.

Entry from the Alexandria database: an optimized crystal structure of Dy2CoSn (GGA-PBE).

```
Dy2CoSn
1.0
3.3919 0.0000 0.0000
0.0000 3.3919 0.0000
0.0000 0.0000 7.8490
Dy Co Sn
2 1 1
direct
0.0000 0.0000 0.2077 Dy
0.0000 0.0000 0.7923 Dy
0.5000 0.5000 0.0000 Co
0.5000 0.5000 0.5000 Sn
```

Output
For the energy above the most stable polymorph in this dataset, the calculation gives 0.0 meV/atom. Its volume is 90.3 Å³/cell. As for the total magnetic moment: 0.0343 μB/atom. Its total energy is -5.476 eV per atom.

Entry from the Alexandria database: an optimized crystal structure of DyCo3Sn5 (GGA-PBE).

```
DyCo3Sn5
1.0
5.5779 -4.3948 0.0000
5.5779 4.3948 0.0000
-4.7724 0.0000 8.1184
Dy Co Sn
2 6 10
direct
0.0946 0.0946 0.3020 Dy
0.9054 0.9054 0.6980 Dy
0.0000 0.0000 0.0000 Co
0.0000 0.0000 0.5000 Co
0.3081 0.3081 0.8207 Co
0.3560 0.3560 0.3472 Co
0.6440 0.6440 0.6528 Co
0.6919 0.6919 0.1793 Co
0.0625 0.6184 0.3394 Sn
0.2408 0.2408 0.0366 Sn
0.2974 0.7026 0.0000 Sn
0.3816 0.9375 0.6606 Sn
0.4170 0.4170 0.6448 Sn
0.5830 0.5830 0.3552 Sn
0.6184 0.0625 0.3394 Sn
0.7026 0.2974 0.0000 Sn
0.7592 0.7592 0.9634 Sn
0.9375 0.3816 0.6606 Sn
```

Output
Its volume is 398.0 Å³/cell. As for the total magnetic moment: 0.0000 μB/atom. Its total energy is -5.228 eV per atom.

Entry from the Alexandria database: an optimized crystal structure of Dy4Co2Sn (GGA-PBE).

```
Dy4Co2Sn
1.0
4.3561 -7.7046 0.0000
4.3561 7.7046 0.0000
-4.3512 0.0000 4.8321
Dy Co Sn
8 4 2
direct
0.0175 0.3986 0.7606 Dy
0.0165 0.9835 0.5000 Dy
0.2903 0.8299 0.6182 Dy
0.3986 0.0175 0.2606 Dy
0.4431 0.5658 0.3582 Dy
0.5658 0.4431 0.8582 Dy
0.8299 0.2903 0.1182 Dy
0.9835 0.0165 0.0000 Dy
0.2078 0.3890 0.5235 Co
0.3890 0.2078 0.0235 Co
0.6774 0.9941 0.5935 Co
0.9941 0.6774 0.0935 Co
0.5666 0.8158 0.0527 Sn
0.8158 0.5666 0.5527 Sn
```

Output
Its volume is 324.3 Å³/cell. As for the total magnetic moment: 0.0000 μB/atom. Its total energy is -5.489 eV per atom.

> What is the formula in the fourth record?

Dy4Co2Sn

> Look up the total magnetic moment of the first one.

0.4837 μB/atom

> What is the formula in the first record?

Dy3Co8Sn4